(1)
First-principles (PBE) data for crystalline NbSeCl2 at its relaxed geometry, as listed in the Alexandria database.

Its calculated density is 4.14 g/cm3. The uncorrected formation energy is -524.1 meV per atom. For the distance to the lowest polymorph of the same formula, the calculation gives 429.6 meV per atom. The value obtained for the raw total energy is -4.8360 eV per atom.

Cell: 3.1054 3.1054 34.9518 Å, 90.00 90.00 120.00°
Space group R-3m (No. 166, hexagonal axes)
Asymmetric unit:
1 Nb 0.0000 0.0000 0.0000 [3 per cell]
2 Se 0.0000 0.0000 0.5000 [3 per cell]
3 Cl 0.0000 0.0000 0.3849 [6 per cell]

***

(2)
First-principles (PBE) data for crystalline NbSeCl2 at its relaxed geometry, as listed in the Alexandria database.

Its calculated density is 3.92 g/cm3. The uncorrected formation energy is -663.5 meV per atom. For the distance to the lowest polymorph of the same formula, the calculation gives 290.2 meV per atom. The value obtained for the raw total energy is -4.9754 eV per atom.

Cell: 9.068 9.068 5.000 Å, 90.00 90.00 90.00°
Space group I-42d (No. 122)
Asymmetric unit:
1 Nb 0.000 0.000 0.000 [4 per cell]
2 Se 0.000 0.000 0.500 [4 per cell]
3 Cl 0.110 0.250 0.125 [8 per cell]

***

(3)
First-principles (PBE) data for crystalline NbSeCl at its relaxed geometry, as listed in the Alexandria database.

Its calculated density is 4.45 g/cm3. The uncorrected formation energy is -939.6 meV per atom. The value obtained for the raw total energy is -6.0732 eV per atom.

Cell: 7.948 6.361 6.140 Å, 90.00 95.24 90.00°
Space group P2_1/c (No. 14)
Asymmetric unit:
1 Nb 0.091 0.199 0.014 [4 per cell]
2 Se 0.141 0.594 0.799 [4 per cell]
3 Cl 0.320 0.118 0.778 [4 per cell]

***

(4)
First-principles (PBE) data for crystalline Nb2Se4Cl at its relaxed geometry, as listed in the Alexandria database.

Its calculated density is 4.64 g/cm3. The uncorrected formation energy is -614.0 meV per atom. The value obtained for the raw total energy is -5.7460 eV per atom.

Cell: 7.438 7.558 8.211 Å, 72.81 76.74 61.33°
Space group P1 (No. 1)
Asymmetric unit:
1 Nb 0.000 0.000 0.000 [1 per cell]
2 Nb 0.110 0.449 0.953 [1 per cell]
3 Nb 0.222 0.504 0.300 [1 per cell]
4 Nb 0.491 0.433 0.959 [1 per cell]
5 Se 0.242 0.140 0.796 [1 per cell]
6 Se 0.249 0.692 0.750 [1 per cell]
7 Se 0.354 0.188 0.188 [1 per cell]
8 Se 0.377 0.734 0.118 [1 per cell]
9 Se 0.733 0.122 0.815 [1 per cell]
10 Se 0.830 0.276 0.151 [1 per cell]
11 Se 0.879 0.698 0.169 [1 per cell]
12 Se 0.967 0.504 0.640 [1 per cell]
13 Cl 0.476 0.365 0.483 [1 per cell]
14 Cl 0.695 0.838 0.554 [1 per cell]

***

(5)
First-principles (PBE) data for crystalline NbSeCl2 at its relaxed geometry, as listed in the Alexandria database.

Its calculated density is 5.57 g/cm3. The uncorrected formation energy is 222.6 meV per atom. For the distance to the lowest polymorph of the same formula, the calculation gives 1176.4 meV per atom. The value obtained for the raw total energy is -4.0892 eV per atom.

Cell: 6.616 6.616 6.616 Å, 90.00 90.00 90.00°
Space group Fm-3m (No. 225)
Asymmetric unit:
1 Nb 0.000 0.000 0.000 [4 per cell]
2 Se 0.000 0.000 0.500 [4 per cell]
3 Cl 0.250 0.250 0.250 [8 per cell]

***

(6)
First-principles (PBE) data for crystalline Nb3SeCl at its relaxed geometry, as listed in the Alexandria database.

Its calculated density is 6.70 g/cm3. The uncorrected formation energy is 685.5 meV per atom. For the distance to the lowest polymorph of the same formula, the calculation gives 0.0 meV per atom. The value obtained for the raw total energy is -6.4226 eV per atom.

Cell: 4.601 4.601 4.601 Å, 90.00 90.00 90.00°
Space group Pm-3m (No. 221)
Asymmetric unit:
1 Nb 0.000 0.000 0.500 [3 per cell]
2 Se 0.500 0.500 0.500 [1 per cell]
3 Cl 0.000 0.000 0.000 [1 per cell]

***

(7)
First-principles (PBE) data for crystalline NbSe2Cl2 at its relaxed geometry, as listed in the Alexandria database.

Its calculated density is 3.91 g/cm3. The uncorrected formation energy is -927.8 meV per atom. The value obtained for the raw total energy is -5.0742 eV per atom.

Cell: 6.445 6.613 8.157 Å, 66.19 87.18 60.91°
Space group P-1 (No. 2)
Asymmetric unit:
1 Nb 0.129 0.241 0.000 [2 per cell]
2 Se 0.068 0.316 0.299 [2 per cell]
3 Se 0.273 0.578 0.873 [2 per cell]
4 Cl 0.144 0.801 0.196 [2 per cell]
5 Cl 0.435 0.042 0.804 [2 per cell]

***

(8)
First-principles (PBE) data for crystalline Nb3Se5Cl7 at its relaxed geometry, as listed in the Alexandria database.

Its calculated density is 3.39 g/cm3. The uncorrected formation energy is -991.7 meV per atom. The value obtained for the raw total energy is -5.0289 eV per atom.

Cell: 8.633 12.767 8.737 Å, 90.00 110.19 90.00°
Space group P2_1/m (No. 11)
Asymmetric unit:
1 Nb 0.032 0.250 0.106 [2 per cell]
2 Nb 0.441 0.110 0.473 [4 per cell]
3 Se 0.243 0.750 0.925 [2 per cell]
4 Se 0.345 0.526 0.650 [4 per cell]
5 Se 0.385 0.532 0.239 [4 per cell]
6 Cl 0.055 0.118 0.930 [4 per cell]
7 Cl 0.115 0.116 0.337 [4 per cell]
8 Cl 0.324 0.750 0.437 [2 per cell]
9 Cl 0.353 0.250 0.640 [2 per cell]
10 Cl 0.384 0.250 0.236 [2 per cell]

***

(9)
First-principles (PBE) data for crystalline NbSe2Cl8 at its relaxed geometry, as listed in the Alexandria database.

Its calculated density is 2.26 g/cm3. The uncorrected formation energy is -531.5 meV per atom. The value obtained for the raw total energy is -3.4235 eV per atom.

Cell: 13.072 8.476 7.345 Å, 90.00 105.18 90.00°
Space group C2/m (No. 12)
Asymmetric unit:
1 Nb 0.000 0.000 0.000 [2 per cell]
2 Se 0.162 0.000 0.296 [4 per cell]
3 Cl 0.088 0.259 0.199 [8 per cell]
4 Cl 0.120 0.000 0.809 [4 per cell]
5 Cl 0.175 0.500 0.736 [4 per cell]

***

(10)
First-principles (PBE) data for crystalline Nb2SeCl3 at its relaxed geometry, as listed in the Alexandria database.

Its calculated density is 3.55 g/cm3. The uncorrected formation energy is -1061.6 meV per atom. The value obtained for the raw total energy is -5.9222 eV per atom.

Cell: 20.849 3.374 10.971 Å, 90.00 115.86 90.00°
Space group C2/m (No. 12)
Asymmetric unit:
1 Nb 0.173 0.000 0.288 [4 per cell]
2 Nb 0.208 0.500 0.122 [4 per cell]
3 Se 0.105 0.000 0.032 [4 per cell]
4 Cl 0.085 0.500 0.301 [4 per cell]
5 Cl 0.191 0.500 0.863 [4 per cell]
6 Cl 0.226 0.000 0.620 [4 per cell]

***

(11)
First-principles (PBE) data for crystalline NbSeCl2 at its relaxed geometry, as listed in the Alexandria database.

Its calculated density is 3.46 g/cm3. The uncorrected formation energy is -953.7 meV per atom. For the distance to the lowest polymorph of the same formula, the calculation gives 0.0 meV per atom. The value obtained for the raw total energy is -5.2656 eV per atom.

Cell: 6.381 6.440 11.337 Å, 90.00 90.00 90.00°
Space group Pnna (No. 52)
Asymmetric unit:
1 Nb 0.250 0.000 0.102 [4 per cell]
2 Se 0.128 0.250 0.250 [4 per cell]
3 Cl 0.073 0.210 0.933 [8 per cell]

***

(12)
First-principles (PBE) data for crystalline Nb2SeCl at its relaxed geometry, as listed in the Alexandria database.

Its calculated density is 7.43 g/cm3. The uncorrected formation energy is -11.2 meV per atom. For the distance to the lowest polymorph of the same formula, the calculation gives 0.0 meV per atom. The value obtained for the raw total energy is -6.3788 eV per atom.

Cell: 6.449 6.449 6.449 Å, 90.00 90.00 90.00°
Space group Fm-3m (No. 225)
Asymmetric unit:
1 Nb 0.250 0.250 0.250 [8 per cell]
2 Se 0.000 0.000 0.000 [4 per cell]
3 Cl 0.000 0.000 0.500 [4 per cell]

***

(13)
First-principles (PBE) data for crystalline Nb2SeCl at its relaxed geometry, as listed in the Alexandria database.

Its calculated density is 6.57 g/cm3. The uncorrected formation energy is 265.4 meV per atom. For the distance to the lowest polymorph of the same formula, the calculation gives 276.6 meV per atom. The value obtained for the raw total energy is -6.1023 eV per atom.

Cell: 6.937 6.937 6.307 Å, 90.00 90.00 90.00°
Space group I-42d (No. 122)
Asymmetric unit:
1 Nb 0.230 0.250 0.125 [8 per cell]
2 Se 0.000 0.000 0.500 [4 per cell]
3 Cl 0.000 0.000 0.000 [4 per cell]

***

(14)
First-principles (PBE) data for crystalline TaNb2SeCl at its relaxed geometry, as listed in the Alexandria database.

Its calculated density is 6.85 g/cm3. The uncorrected formation energy is 1028.6 meV per atom. The value obtained for the raw total energy is -6.4360 eV per atom.

Cell: 5.005 5.005 4.653 Å, 90.00 90.00 90.00°
Space group P4/mmm (No. 123)
Asymmetric unit:
1 Ta 0.000 0.000 0.000 [1 per cell]
2 Nb 0.000 0.500 0.000 [2 per cell]
3 Se 0.500 0.500 0.500 [1 per cell]
4 Cl 0.000 0.000 0.500 [1 per cell]

***

(15)
First-principles (PBE) data for crystalline NbTe2SeCl at its relaxed geometry, as listed in the Alexandria database.

Its calculated density is 5.64 g/cm3. The uncorrected formation energy is 1027.9 meV per atom. The value obtained for the raw total energy is -3.3090 eV per atom.

Cell: 5.261 5.261 4.916 Å, 90.00 90.00 90.00°
Space group P4/mmm (No. 123)
Asymmetric unit:
1 Nb 0.000 0.000 0.000 [1 per cell]
2 Te 0.000 0.500 0.500 [2 per cell]
3 Se 0.500 0.500 0.000 [1 per cell]
4 Cl 0.500 0.500 0.500 [1 per cell]

***

(16)
First-principles (PBE) data for crystalline Th2NbSe2Cl4 at its relaxed geometry, as listed in the Alexandria database.

Its calculated density is 5.45 g/cm3. The uncorrected formation energy is -1418.3 meV per atom. The value obtained for the raw total energy is -5.7810 eV per atom.

Cell: 3.6302 3.6302 22.8648 Å, 90.00 90.00 120.00°
Space group P3m1 (No. 156)
Asymmetric unit:
1 Th 0.0000 0.0000 0.0000 [1 per cell]
2 Th 0.3333 0.6667 0.3402 [1 per cell]
3 Nb 0.3333 0.6667 0.6797 [1 per cell]
4 Se 0.0000 0.0000 0.6081 [1 per cell]
5 Se 0.0000 0.0000 0.7513 [1 per cell]
6 Cl 0.0000 0.0000 0.2524 [1 per cell]
7 Cl 0.0000 0.0000 0.4272 [1 per cell]
8 Cl 0.3333 0.6667 0.0877 [1 per cell]
9 Cl 0.3333 0.6667 0.9131 [1 per cell]

***

(17)
First-principles (PBE) data for crystalline TiNb2Se4Cl2 at its relaxed geometry, as listed in the Alexandria database.

Its calculated density is 4.71 g/cm3. The uncorrected formation energy is -1060.6 meV per atom. The value obtained for the raw total energy is -6.1346 eV per atom.

Cell: 3.4315 3.4315 21.4464 Å, 90.00 90.00 120.00°
Space group P3m1 (No. 156)
Asymmetric unit:
1 Ti 0.0000 0.0000 0.0000 [1 per cell]
2 Nb 0.0000 0.0000 0.6545 [1 per cell]
3 Nb 0.6667 0.3333 0.3269 [1 per cell]
4 Se 0.0000 0.0000 0.2474 [1 per cell]
5 Se 0.0000 0.0000 0.4060 [1 per cell]
6 Se 0.6667 0.3333 0.5754 [1 per cell]
7 Se 0.6667 0.3333 0.7340 [1 per cell]
8 Cl 0.6667 0.3333 0.0716 [1 per cell]
9 Cl 0.6667 0.3333 0.9283 [1 per cell]

***

(18)
First-principles (PBE) data for crystalline NbZnSe2Cl at its relaxed geometry, as listed in the Alexandria database.

Its calculated density is 4.77 g/cm3. The uncorrected formation energy is 686.2 meV per atom. The value obtained for the raw total energy is -3.3456 eV per atom.

Cell: 4.714 4.714 5.515 Å, 90.00 90.00 90.00°
Space group P4/mmm (No. 123)
Asymmetric unit:
1 Nb 0.000 0.000 0.000 [1 per cell]
2 Zn 0.000 0.000 0.500 [1 per cell]
3 Se 0.000 0.500 0.500 [2 per cell]
4 Cl 0.500 0.500 0.000 [1 per cell]

***

(19)
First-principles (PBE) data for crystalline NbSi3Cl at its relaxed geometry, as listed in the Alexandria database.

Its calculated density is 3.88 g/cm3. The uncorrected formation energy is 1208.4 meV per atom. For the distance to the lowest polymorph of the same formula, the calculation gives 603.6 meV per atom. The value obtained for the raw total energy is -4.4287 eV per atom.

Cell: 4.499 4.499 4.499 Å, 90.00 90.00 90.00°
Space group Pm-3m (No. 221)
Asymmetric unit:
1 Nb 0.000 0.000 0.000 [1 per cell]
2 Si 0.000 0.500 0.500 [3 per cell]
3 Cl 0.500 0.500 0.500 [1 per cell]

***

(20)
First-principles (PBE) data for crystalline Nb2SiCl at its relaxed geometry, as listed in the Alexandria database.

Its calculated density is 5.66 g/cm3. The uncorrected formation energy is 371.1 meV per atom. For the distance to the lowest polymorph of the same formula, the calculation gives 357.2 meV per atom. The value obtained for the raw total energy is -6.4812 eV per atom.

Cell: 6.663 6.663 6.592 Å, 90.00 90.00 90.00°
Space group I-42d (No. 122)
Asymmetric unit:
1 Nb 0.231 0.250 0.125 [8 per cell]
2 Si 0.000 0.000 0.500 [4 per cell]
3 Cl 0.000 0.000 0.000 [4 per cell]